DFT (PBE with a Hubbard U) results for a relaxed structure of MnO2.

```
MnO2
1.0
2.955 0.000 0.000
0.000 4.477 -0.004
0.000 0.004 4.477
O Mn
4 2
Direct
0.500 0.931 0.931
0.000 0.431 0.819
0.000 0.819 0.431
0.500 0.319 0.319
0.500 0.625 0.625
0.000 0.125 0.125
```

Results
* density: 4874 kg/m³
* space group: No. 136
* total moment: 6.04 Bohr magnetons per cell
* final energy: -7.09 eV per atom